Entry 1:
Below is an optimized crystal structure of AlTlOs2, with properties calculated at the PBE-GGA level.

Unit cell a=9.487 b=9.487 c=9.487 alpha=17.38 beta=17.38 gamma=17.38
Fractional coordinates of all 4 atoms:
Al1 0.750 0.750 0.750
Tl1 0.250 0.250 0.250
Os1 0.488 0.488 0.488
Os2 0.012 0.012 0.012

Properties
As for the space-group type: No. 166. As for the density of states at the Fermi level: 1.0 states/eV/f.u. The value obtained for the energy of formation from the pure elements is 445 meV per atom. For the energy above the most stable polymorph in this dataset, the calculation gives 218 meV per atom.

Entry 2:
Below is an optimized crystal structure of Al3Cl5, with properties calculated at the PBE-GGA level.

Unit cell a=12.447 b=14.923 c=7.197 alpha=104.89 beta=85.97 gamma=154.39
Fractional coordinates of all 16 atoms:
Cl1 0.964 0.177 0.996
Cl2 0.125 0.823 0.963
Cl3 0.324 0.957 0.500
Cl4 0.468 0.681 0.004
Cl5 0.795 0.171 0.500
Cl6 0.886 0.876 0.763
Cl7 0.125 0.114 0.237
Cl8 0.663 0.360 0.037
Cl9 0.388 0.377 0.763
Cl10 0.624 0.613 0.237
Al1 0.686 0.729 0.001
Al2 0.015 0.580 0.913
Al3 0.602 0.167 0.087
Al4 0.186 0.228 0.999
Al5 0.804 0.333 0.500
Al6 0.339 0.814 0.500

Properties
As for the space-group type: No. 8. As for the density of states at the Fermi level: 0.4 states/eV/f.u. The calculation puts the formation energy without anion corrections at -0.950 eV per atom. For the energy above the most stable polymorph in this dataset, the calculation gives 0 meV per atom.

Entry 3:
Below is an optimized crystal structure of Ce2HfIn, with properties calculated at the PBE-GGA level.

Unit cell a=5.012 b=4.457 c=4.457 alpha=90.00 beta=90.00 gamma=90.00
Fractional coordinates of all 4 atoms:
In1 0.500 0.000 0.000
Hf1 0.500 0.500 0.500
Ce1 0.000 0.500 0.000
Ce2 0.000 0.000 0.500

Properties
As for the space-group type: No. 123. As for the density of states at the Fermi level: 9.8 states/eV/f.u. The value obtained for the energy of formation from the pure elements is -120 meV per atom. For the energy above the most stable polymorph in this dataset, the calculation gives 0 meV per atom.